4
Lattice="3.263 0.000 0.000 0.000 4.234 0.000 -1.643 0.000 4.995" Properties=species:S:1:pos:R:3 comment="ZrInRh2 PBEsol optimized geometry" magnetic_moment_mub_per_fu=0.000 total_energy_ev_per_fu=-30.55 pbc="T T T"
Zr 0.000 0.000 0.000
In 1.621 2.117 2.088
Rh -0.013 0.000 2.709
Rh -0.009 2.117 4.407

=====

5
Lattice="-1.802 1.802 6.762 1.802 -1.802 6.762 1.802 1.802 -6.762" Properties=species:S:1:pos:R:3 comment="Nb2RhW2 PBEsol optimized geometry" magnetic_moment_mub_per_fu=0.000 total_energy_ev_per_fu=-51.94 pbc="T T T"
Nb 1.802 0.000 3.381
Nb 0.000 1.802 3.381
Rh 0.000 0.000 0.000
W 0.000 0.000 5.580
W 0.000 0.000 7.944

=====

5
Lattice="5.166 0.000 0.000 0.000 5.166 0.000 0.000 0.000 5.336" Properties=species:S:1:pos:R:3 comment="KIn2ReTc PBEsol optimized geometry" magnetic_moment_mub_per_fu=4.976 total_energy_ev_per_fu=-21.98 pbc="T T T"
K 0.000 0.000 0.000
In 0.000 2.583 2.668
In 2.583 0.000 2.668
Re 0.000 0.000 2.668
Tc 2.583 2.583 0.000

=====

5
Lattice="5.527 0.000 0.000 0.000 5.527 0.000 0.000 0.000 5.212" Properties=species:S:1:pos:R:3 comment="LiZrPb2Au PBEsol optimized geometry" magnetic_moment_mub_per_fu=1.125 total_energy_ev_per_fu=-18.26 pbc="T T T"
Li 0.000 0.000 0.000
Zr 0.000 0.000 2.606
Pb 0.000 2.763 2.606
Pb 2.763 0.000 2.606
Au 2.763 2.763 0.000

=====

4
Lattice="0.000 3.736 3.736 3.736 0.000 3.736 3.736 3.736 0.000" Properties=species:S:1:pos:R:3 comment="NaSrTi2 PBEsol optimized geometry" magnetic_moment_mub_per_fu=3.905 total_energy_ev_per_fu=-15.22 pbc="T T T"
Na 0.000 0.000 0.000
Sr 3.736 3.736 3.736
Ti 1.868 1.868 1.868
Ti 5.603 5.603 5.603

=====

22
Lattice="7.264 0.000 0.000 -3.632 6.290 0.000 0.000 0.000 6.778" Properties=species:S:1:pos:R:3 comment="Ba3Si6N4O9 PBEsol optimized geometry" magnetic_moment_mub_per_fu=0.000 total_energy_ev_per_fu=-176.41 pbc="T T T"
Ba 0.000 0.000 0.000
Ba 0.000 4.194 1.292
Ba 3.632 2.097 0.891
Si -1.729 3.919 4.735
Si 1.697 0.251 3.286
Si 1.102 2.834 4.735
Si 0.626 5.828 4.735
Si 3.001 4.696 3.286
Si 6.198 1.344 3.286
N 0.000 0.000 3.634
N -0.594 2.674 4.298
N -1.019 5.467 4.298
N 1.613 4.439 4.298
O -2.160 3.925 6.283
O 2.066 0.052 1.731
O 1.312 2.458 6.283
O 1.929 1.844 3.687
O 0.847 6.198 6.283
O 4.702 0.749 3.687
O 2.644 4.475 1.731
O 4.264 3.698 3.687
O 6.185 1.763 1.731

=====

4
Lattice="1.445 -3.882 0.000 1.445 3.882 0.000 0.000 0.000 2.891" Properties=species:S:1:pos:R:3 comment="CrB PBEsol optimized geometry" magnetic_moment_mub_per_fu=0.000 total_energy_ev_per_fu=-18.43 pbc="T T T"
Cr 1.445 2.752 2.168
Cr 1.445 -2.752 0.723
B 1.445 0.507 2.168
B 1.445 -0.507 0.723

=====

14
Lattice="0.000 5.421 5.421 5.421 0.000 5.421 5.421 5.421 0.000" Properties=species:S:1:pos:R:3 comment="Al2HgSe4 PBEsol optimized geometry" relative_energy_ev_per_fu=0.00 magnetic_moment_mub_per_fu=0.000 pbc="T T T"
Al 0.000 0.000 0.000
Al 2.711 2.711 0.000
Al 2.711 0.000 2.711
Al 0.000 2.711 2.711
Hg 4.066 4.066 4.066
Hg 6.777 6.777 6.777
Se 8.285 5.268 5.268
Se 2.557 2.557 2.557
Se 5.574 5.574 2.557
Se 5.574 2.557 5.574
Se 5.268 8.285 5.268
Se 5.268 5.268 8.285
Se 8.285 8.285 8.285
Se 2.557 5.574 5.574

=====

What is the formula in the third record?
KIn2ReTc